First-principles (GGA-PBEsol) data for CdReOs after structural relaxation, as listed in Alexandria.

Values from the calculation:
The calculation puts the excess energy over the best structure of this formula in the dataset at 0 meV per atom. For the energy of formation from the pure elements, the calculation gives 0.29 eV per atom.

Cell lengths 2.846, 2.846, 6.262 Å; angles 103.14, 103.14, 90.00 degrees
Positions (direct):
Os: 0.683 0.683 0.366
Re: 0.316 0.316 0.632
Cd: 0.001 0.001 0.002


First-principles (GGA-PBEsol) data for CdRe2Os after structural relaxation, as listed in Alexandria.

Values from the calculation:
For the energy of formation from the pure elements, the calculation gives 0.33 eV per atom.

Cell lengths 2.784, 2.784, 8.013 Å; angles 90.00, 90.00, 90.00 degrees
Positions (direct):
Cd: 0.000 0.000 0.504
Re: 0.500 0.500 0.229
Re: 0.000 0.000 0.993
Os: 0.500 0.500 0.774


| no. | total moment (μB/cell) |
| --- | --- |
| 1 | 0.000 |
| 2 | 0.001 |